(1)
Below is crystalline LiAc2Ir at its relaxed geometry, with properties calculated at the PBE level.

Properties
ΔH_f (0 K): -0.25 eV/atom
Symmetry: P4/mmm (123)
Volume: 30.3 A^3/atom
Spin magnetization: 0.00 Bohr magnetons per cell
Raw total energy: -4.995 eV per atom
Calculated density: 8944 kg/m³

Lattice parameters (Å, degrees): 3.7953 3.7953 8.4187 90.00 90.00 90.00
Fractional coordinates of all 4 atoms:
Ac 0.0000 0.0000 0.7933
Ac 0.0000 0.0000 0.2067
Li 0.5000 0.5000 0.5000
Ir 0.5000 0.5000 0.0000

(2)
Below is crystalline Sm3Mg at its relaxed geometry, with properties calculated at the PBE level.

Properties
ΔH_f (0 K): -0.02 eV/atom
Symmetry: Imm2 (44)
Volume: 31.5 A^3/atom
Spin magnetization: 0.00 Bohr magnetons per cell
Raw total energy: -3.956 eV per atom
Calculated density: 6264 kg/m³

Lattice parameters (Å, degrees): 3.8839 5.5749 6.7390 114.43 106.75 90.00
Fractional coordinates of all 4 atoms:
Mg 0.0000 0.9204 0.0000
Sm 0.7272 0.1405 0.4544
Sm 0.5000 0.4197 0.0000
Sm 0.2728 0.6861 0.5456

(3)
Below is crystalline HoEr6Pu at its relaxed geometry, with properties calculated at the PBE level.

Properties
ΔH_f (0 K): 0.40 eV/atom
E above lowest polymorph: 33.26 kJ per mole of atoms
Symmetry: C2/m (12)
Volume: 31.1 A^3/atom
Spin magnetization: 7.69 Bohr magnetons per cell
Raw total energy: -5.387 eV per atom
Calculated density: 9433 kg/m³

Lattice parameters (Å, degrees): 6.8812 6.8903 6.9351 60.24 75.90 60.58
Site moments in Bohr magnetons follow the coordinates.
Fractional coordinates of all 8 atoms:
Pu 0.5000 0.5000 0.0000  5.86
Ho 0.0000 0.0000 0.0000  0.36
Er 0.2526 0.5128 0.4416  0.12
Er 0.2599 0.2634 0.0000  0.41
Er 0.2527 0.9545 0.5584  0.12
Er 0.7474 0.4872 0.5584  0.12
Er 0.7473 0.0455 0.4416  0.12
Er 0.7401 0.7366 0.0000  0.41

(4)
Below is crystalline ErAl11Cu at its relaxed geometry, with properties calculated at the PBE level.

Properties
ΔH_f (0 K): -0.10 eV/atom
Symmetry: C2/m (12)
Volume: 17.2 A^3/atom
Spin magnetization: 0.00 Bohr magnetons per cell
Raw total energy: -3.932 eV per atom
Calculated density: 3925 kg/m³

Lattice parameters (Å, degrees): 5.2180 7.1475 6.8237 83.10 67.52 71.68
Fractional coordinates of all 13 atoms:
Al 0.0065 0.3535 0.6477
Al 0.9935 0.6465 0.3523
Al 0.0000 0.5000 0.0000
Al 0.3459 0.6465 0.6477
Al 0.7108 0.7762 0.7856
Al 0.5035 0.2238 0.7856
Al 0.2892 0.2238 0.2144
Al 0.5000 0.0000 0.5000
Al 0.6541 0.3535 0.3523
Al 0.0000 0.0000 0.5000
Al 0.4965 0.7762 0.2144
Er 0.0000 0.0000 0.0000
Cu 0.5000 0.5000 0.0000

(5)
Below is crystalline PmNd4Zn at its relaxed geometry, with properties calculated at the PBE level.

Properties
ΔH_f (0 K): 0.00 eV/atom
E above lowest polymorph: 8.81 kJ per mole of atoms
Symmetry: C2/c (15)
Volume: 32.0 A^3/atom
Spin magnetization: 0.00 Bohr magnetons per cell
Raw total energy: -4.187 eV per atom
Calculated density: 6819 kg/m³

Lattice parameters (Å, degrees): 6.4471 9.3157 8.2641 114.61 100.21 112.18
Fractional coordinates of all 12 atoms:
Nd 0.9593 0.8333 0.2209
Nd 0.3717 0.9229 0.6380
Nd 0.0407 0.1667 0.7791
Nd 0.2384 0.6124 0.7791
Nd 0.2337 0.2849 0.3620
Nd 0.7663 0.7151 0.6380
Nd 0.6283 0.0771 0.3620
Nd 0.7616 0.3876 0.2209
Zn 0.7494 0.9994 0.9988
Zn 0.2506 0.0006 0.0012
Pm 0.3444 0.5944 0.1889
Pm 0.6556 0.4056 0.8111

(6)
Below is crystalline LiTcC at its relaxed geometry, with properties calculated at the PBE level.

Properties
ΔH_f (0 K): 0.13 eV/atom
E above lowest polymorph: 0.00 kJ per mole of atoms
Symmetry: Pbcm (57)
Volume: 12.3 A^3/atom
Spin magnetization: 0.00 Bohr magnetons per cell
Raw total energy: -7.039 eV per atom
Calculated density: 5278 kg/m³

Lattice parameters (Å, degrees): 5.5337 5.5908 4.7577 89.97 90.00 90.00
Fractional coordinates of all 12 atoms:
Li 0.6163 0.2496 0.0645
Li 0.3837 0.7504 0.9355
Li 0.1163 0.2504 0.9355
Li 0.8837 0.7496 0.0645
Tc 0.2501 0.5004 0.4592
Tc 0.7501 0.9996 0.5408
Tc 0.2499 0.0004 0.4592
Tc 0.7499 0.4996 0.5408
C 0.0193 0.7499 0.6268
C 0.4807 0.2499 0.6268
C 0.5193 0.7501 0.3732
C 0.9807 0.2501 0.3732

(7)
Below is crystalline Gd3Y13O24 at its relaxed geometry, with properties calculated at the PBE level.

Properties
Formation energy from raw total energies: -3538 meV/atom
Symmetry: P1 (1)
Volume: 15.4 A^3/atom
Spin magnetization: 20.90 Bohr magnetons per cell
Raw total energy: -9.669 eV per atom
Calculated density: 5405 kg/m³

Lattice parameters (Å, degrees): 9.2854 9.2977 9.2965 109.50 109.45 109.45
Site moments in Bohr magnetons follow the coordinates.
Fractional coordinates of all 40 atoms:
Y 0.0002 0.0000 0.5002  0.00
Y 0.4991 0.5014 0.4997  0.00
Y 0.5006 0.0001 0.9992  0.00
Y 0.2834 0.2518 0.0331  0.00
Y 0.7160 0.7495 0.9667  0.00
Y 0.7499 0.0329 0.7834  0.00
Y 0.0002 0.4993 0.0009  0.00
Y 0.2508 0.4667 0.7172  0.00
Y 0.5325 0.7817 0.2490  0.00
Y 0.4676 0.2177 0.7513  0.00
Y 0.0325 0.2832 0.2499  0.00
Y 0.7497 0.5331 0.2812  0.00
Y 0.2179 0.7498 0.4676  0.00
Gd 0.9675 0.7183 0.7495  6.92
Gd 0.7824 0.2496 0.5323  6.92
Gd 0.2498 0.9684 0.2186  6.92
O 0.0106 0.7714 0.5397  -0.01
O 0.7601 0.9864 0.5313  0.00
O 0.2611 0.2323 0.2722  0.00
O 0.7366 0.7706 0.7285  -0.01
O 0.5107 0.4678 0.7383  0.00
O 0.9576 0.4888 0.2284  0.00
O 0.7262 0.4577 0.4863  0.00
O 0.9914 0.2276 0.4576  0.00
O 0.4574 0.7289 0.9676  0.00
O 0.5430 0.2710 0.0317  0.00
O 0.7717 0.7612 0.2289  0.00
O 0.4892 0.5319 0.2603  0.00
O 0.0442 0.5109 0.7736  -0.01
O 0.2401 0.0114 0.4714  0.00
O 0.0313 0.2605 0.9891  0.00
O 0.9667 0.7373 0.0112  -0.01
O 0.7297 0.2718 0.7633  0.00
O 0.2282 0.2394 0.7711  0.00
O 0.2711 0.7265 0.2402  0.00
O 0.5314 0.0396 0.2679  -0.01
O 0.2713 0.5428 0.5115  0.00
O 0.2310 0.9716 0.9577  -0.01
O 0.7710 0.0317 0.0428  0.00
O 0.4685 0.9575 0.7296  0.00

(8)
Below is crystalline SnPb at its relaxed geometry, with properties calculated at the PBE level.

Properties
ΔH_f (0 K): 0.16 eV/atom
Symmetry: F-43m (216)
Volume: 39.9 A^3/atom
Spin magnetization: 0.00 Bohr magnetons per cell
Raw total energy: -3.694 eV per atom
Calculated density: 6778 kg/m³

Lattice parameters (Å, degrees): 6.8354 6.8354 6.8354 90.00 90.00 90.00
Fractional coordinates of all 8 atoms:
Pb 0.5000 0.5000 0.0000
Pb 0.0000 0.5000 0.5000
Pb 0.5000 0.0000 0.5000
Pb 0.0000 0.0000 0.0000
Sn 0.2500 0.2500 0.2500
Sn 0.7500 0.2500 0.7500
Sn 0.2500 0.7500 0.7500
Sn 0.7500 0.7500 0.2500

(9)
Below is crystalline DyY2Ge2 at its relaxed geometry, with properties calculated at the PBE level.

Properties
ΔH_f (0 K): -0.69 eV/atom
Symmetry: C2/m (12)
Volume: 25.1 A^3/atom
Spin magnetization: 0.00 Bohr magnetons per cell
Raw total energy: -6.045 eV per atom
Calculated density: 6418 kg/m³

Lattice parameters (Å, degrees): 4.3915 6.5292 9.6551 78.00 76.85 70.35
Fractional coordinates of all 10 atoms:
Ge 0.1190 0.3278 0.4343
Ge 0.8810 0.6722 0.5657
Ge 0.0319 0.8298 0.1064
Ge 0.9681 0.1702 0.8936
Y 0.3167 0.2810 0.0855
Y 0.6833 0.7190 0.9145
Y 0.5173 0.6512 0.3143
Y 0.4827 0.3488 0.6857
Dy 0.7833 0.0773 0.3561
Dy 0.2167 0.9227 0.6439

(10)
Below is crystalline Cu2ICl3 at its relaxed geometry, with properties calculated at the PBE level.

Properties
Formation energy from raw total energies: -357 meV/atom
E above lowest polymorph: 0.00 kJ per mole of atoms
Symmetry: P-1 (2)
Volume: 27.3 A^3/atom
Spin magnetization: 0.47 Bohr magnetons per cell
Raw total energy: -2.904 eV per atom
Calculated density: 3648 kg/m³

Lattice parameters (Å, degrees): 4.0164 6.6116 13.4020 105.57 75.11 101.49
Site moments in Bohr magnetons follow the coordinates.
Fractional coordinates of all 12 atoms:
Cl 0.4252 0.8853 0.2050  0.01
Cl 0.5748 0.1147 0.7950  0.01
Cl 0.4105 0.5053 0.7094  0.01
Cl 0.8725 0.1801 0.4242  0.06
Cl 0.5895 0.4947 0.2906  0.01
Cl 0.1275 0.8199 0.5758  0.06
Cu 0.2513 0.3816 0.8563  -0.02
Cu 0.7487 0.6184 0.1437  -0.02
Cu 0.4383 0.1825 0.3481  0.17
Cu 0.5617 0.8175 0.6519  0.17
I 0.9686 0.7201 0.9628  -0.02
I 0.0314 0.2799 0.0372  -0.02

(11)
Below is crystalline Sc4Al at its relaxed geometry, with properties calculated at the PBE level.

Properties
ΔH_f (0 K): -0.13 eV/atom
E above lowest polymorph: 0.19 kJ per mole of atoms
Symmetry: Imma (74)
Volume: 22.0 A^3/atom
Spin magnetization: 0.01 Bohr magnetons per cell
Raw total energy: -5.947 eV per atom
Calculated density: 3118 kg/m³

Lattice parameters (Å, degrees): 4.7728 6.1574 8.4479 111.37 106.41 90.00
Fractional coordinates of all 10 atoms:
Sc 0.5000 0.5000 0.0000
Sc 0.6976 0.1916 0.3952
Sc 0.8966 0.6466 0.7933
Sc 0.5000 0.0000 0.0000
Sc 0.3024 0.2964 0.6048
Sc 0.6976 0.7036 0.3952
Sc 0.3024 0.8084 0.6048
Sc 0.1034 0.3534 0.2067
Al 0.8866 0.1366 0.7732
Al 0.1134 0.8634 0.2268

(12)
Below is crystalline KBeS3 at its relaxed geometry, with properties calculated at the PBE level.

Properties
Formation energy from raw total energies: 1624 meV/atom
E above lowest polymorph: 169.11 kJ per mole of atoms
Symmetry: Pm-3m (221)
Volume: 38.3 A^3/atom
Spin magnetization: 5.00 Bohr magnetons per cell
Raw total energy: -1.817 eV per atom
Calculated density: 1251 kg/m³

Lattice parameters (Å, degrees): 5.7639 5.7639 5.7639 90.00 90.00 90.00
Site moments in Bohr magnetons follow the coordinates.
Fractional coordinates of all 5 atoms:
S 0.0000 0.0000 0.5000  0.93
S 0.0000 0.5000 0.0000  0.90
S 0.5000 0.0000 0.0000  0.83
K 0.0000 0.0000 0.0000  0.02
Be 0.5000 0.5000 0.5000  0.21

Among the records above, which one has the highest raw total energy?
KBeS3

Which formula does entry 12 have?
KBeS3